# HgPtW

An optimized crystal structure of HgPtW (PBE, Alexandria via LeMat-Bulk).

Cell lengths 6.1877, 6.1877, 6.1877 Å; angles 90.00, 90.00, 90.00 degrees
Last column: nearest neighbours and their distance in Å.
Space group F-43m (No. 216)
Symmetry-distinct sites (fractional):
1 Hg 0.0000 0.0000 0.0000 [4 per cell]  4 Pt 2.68
2 Pt 0.2500 0.2500 0.2500 [4 per cell]  4 Hg 2.68, 4 W 2.68
3 W 0.0000 0.0000 0.5000 [4 per cell]  4 Pt 2.68

Properties
Its magnetic moment is 0.0 μB/f.u. As for the energy above the most stable polymorph in this dataset: 305 meV/atom. Its total energy is -5.913 eV/atom. For the energy relative to the elements, the calculation gives 0.519 eV/atom.

***

# HgPt4W

An optimized crystal structure of HgPt4W (PBE, Alexandria via LeMat-Bulk).

Cell lengths 7.4561, 7.4561, 7.4561 Å; angles 90.00, 90.00, 90.00 degrees
Last column: nearest neighbours and their distance in Å.
Space group F-43m (No. 216)
Symmetry-distinct sites (fractional):
1 Hg 0.0000 0.0000 0.0000 [4 per cell]  12 Pt 3.09, 4 W 3.23
2 Pt 0.1246 0.1246 0.6246 [16 per cell]  6 Pt 2.63-2.65
3 W 0.2500 0.2500 0.2500 [4 per cell]  12 Pt 3.09, 4 Hg 3.23

Properties
Its magnetic moment is 1.2 μB/f.u. Its total energy is -5.875 eV/atom. For the energy relative to the elements, the calculation gives 0.361 eV/atom.

***

# HgPtW

An optimized crystal structure of HgPtW (PBE, Alexandria via LeMat-Bulk).

Cell lengths 2.9343, 2.9343, 12.2424 Å; angles 90.00, 90.00, 90.00 degrees
Last column: nearest neighbours and their distance in Å.
Space group I4mm (No. 107)
Symmetry-distinct sites (fractional):
1 Hg 0.0000 0.0000 0.0000 [2 per cell]  4 Hg 2.93, 4 W 3.00, 4 Pt 3.07
2 Pt 0.0000 0.0000 0.3157 [2 per cell]  4 W 2.68, 4 Pt 2.93
3 W 0.0000 0.0000 0.6775 [2 per cell]  4 Pt 2.68, 4 W 2.93

Properties
Its magnetic moment is 0.0 μB/f.u. As for the energy above the most stable polymorph in this dataset: 0 meV/atom. Its total energy is -6.218 eV/atom. For the energy relative to the elements, the calculation gives 0.214 eV/atom.

***

# HgPtW

An optimized crystal structure of HgPtW (PBE, Alexandria via LeMat-Bulk).

Cell lengths 2.9041, 2.9041, 7.1866 Å; angles 90.00, 90.00, 120.00 degrees
Last column: nearest neighbours and their distance in Å.
Space group P3m1 (No. 156)
Symmetry-distinct sites (fractional):
1 Hg 0.0000 0.0000 0.0000 [1 per cell]  6 Hg 2.90, 3 Pt 3.03, 3 W 3.05
2 Pt 0.6667 0.3333 0.3514 [1 per cell]  3 W 2.70, 6 Pt 2.90
3 W 0.3333 0.6667 0.6463 [1 per cell]  3 Pt 2.70, 6 W 2.90

Properties
Its magnetic moment is 0.0 μB/f.u. As for the energy above the most stable polymorph in this dataset: 59 meV/atom. Its total energy is -6.159 eV/atom. For the energy relative to the elements, the calculation gives 0.273 eV/atom.

***

# Hg3PtW

An optimized crystal structure of Hg3PtW (PBE, Alexandria via LeMat-Bulk).

Cell lengths 5.2253, 5.2253, 5.2253 Å; angles 90.00, 90.00, 90.00 degrees
Last column: nearest neighbours and their distance in Å.
Space group Pm-3m (No. 221)
Symmetry-distinct sites (fractional):
1 Hg 0.0000 0.0000 0.5000 [3 per cell]  2 Pt 2.61
2 Pt 0.0000 0.0000 0.0000 [1 per cell]  6 Hg 2.61
3 W 0.5000 0.5000 0.5000 [1 per cell]  12 Hg 3.69

Properties
Its magnetic moment is 5.0 μB/f.u. As for the energy above the most stable polymorph in this dataset: 0 meV/atom. Its total energy is -2.662 eV/atom. For the energy relative to the elements, the calculation gives 1.318 eV/atom.

***

# Hg3PtW

An optimized crystal structure of Hg3PtW (PBE, Alexandria via LeMat-Bulk).

Cell lengths 5.2652, 5.2652, 5.2652 Å; angles 90.00, 90.00, 90.00 degrees
Last column: nearest neighbours and their distance in Å.
Space group Pm-3m (No. 221)
Symmetry-distinct sites (fractional):
1 Hg 0.0000 0.0000 0.5000 [3 per cell]  2 W 2.63
2 Pt 0.5000 0.5000 0.5000 [1 per cell]  12 Hg 3.72
3 W 0.0000 0.0000 0.0000 [1 per cell]  6 Hg 2.63

Properties
Its magnetic moment is 1.8 μB/f.u. As for the energy above the most stable polymorph in this dataset: 286 meV/atom. Its total energy is -2.376 eV/atom. For the energy relative to the elements, the calculation gives 1.604 eV/atom.

***

# HgPt3W

An optimized crystal structure of HgPt3W (PBE, Alexandria via LeMat-Bulk).

Cell lengths 4.9209, 4.9209, 4.9209 Å; angles 90.00, 90.00, 90.00 degrees
Last column: nearest neighbours and their distance in Å.
Space group Pm-3m (No. 221)
Symmetry-distinct sites (fractional):
1 Hg 0.0000 0.0000 0.0000 [1 per cell]  6 Pt 2.46
2 Pt 0.0000 0.0000 0.5000 [3 per cell]  2 Hg 2.46
3 W 0.5000 0.5000 0.5000 [1 per cell]  12 Pt 3.48

Properties
Its magnetic moment is 3.6 μB/f.u. As for the energy above the most stable polymorph in this dataset: 1013 meV/atom. Its total energy is -4.180 eV/atom. For the energy relative to the elements, the calculation gives 2.095 eV/atom.

***

# HgPtW

An optimized crystal structure of HgPtW (PBE, Alexandria via LeMat-Bulk).

Cell lengths 6.2593, 6.2593, 6.2593 Å; angles 90.00, 90.00, 90.00 degrees
Last column: nearest neighbours and their distance in Å.
Space group F-43m (No. 216)
Symmetry-distinct sites (fractional):
1 Hg 0.0000 0.0000 0.0000 [4 per cell]  4 W 2.71
2 Pt 0.0000 0.0000 0.5000 [4 per cell]  4 W 2.71
3 W 0.2500 0.2500 0.2500 [4 per cell]  4 Hg 2.71, 4 Pt 2.71

Properties
Its magnetic moment is 0.0 μB/f.u. As for the energy above the most stable polymorph in this dataset: 565 meV/atom. Its total energy is -5.653 eV/atom. For the energy relative to the elements, the calculation gives 0.779 eV/atom.